VASP calculation (PBE-GGA) on a geometry-optimized BaCdO3 structure.

a b c (Å): 4.2307 4.2307 4.2307
angles (deg): 90.00 90.00 90.00
Atoms (fractional coordinates):
1 Ba 0.5000 0.5000 0.5000
2 O 0.0000 0.5000 0.0000
3 O 0.0000 0.0000 0.5000
4 O 0.5000 0.0000 0.0000
5 Cd 0.0000 0.0000 0.0000

## Properties
Symmetry: Pm-3m
Formation energy without anion corrections in meV/atom: -1215
Spin magnetization in μB/f.u.: 0.251